(1)
Here is crystalline BaAlPt3 at its relaxed geometry from Alexandria. Energies are from PBE-GGA.

Cell and atoms, written as extended XYZ:
```
5
Lattice="4.8205 0.0000 0.0000 0.0000 4.8205 0.0000 0.0000 0.0000 4.8205" Properties=species:S:1:pos:R:3 pbc="T T T"
Ba 0.0000 0.0000 0.0000
Al 2.4103 2.4103 2.4103
Pt 0.0000 2.4103 2.4103
Pt 2.4103 0.0000 2.4103
Pt 2.4103 2.4103 0.0000
```

Results
- symmetry = Pm-3m (221)
- final energy (eV per cell) = -25.9
- calculated formation energy (eV/atom) = -0.42
- D(E_F) (states/eV per atom) = 0.93

---

(2)
Here is crystalline Li2Ca3Zn4 at its relaxed geometry from Alexandria. Energies are from PBE-GGA.

Cell and atoms, written as extended XYZ:
```
9
Lattice="5.2963 -2.1599 0.0000 5.2963 2.1599 0.0000 -5.2421 0.0000 8.8623" Properties=species:S:1:pos:R:3 pbc="T T T"
Li -1.2738 0.0000 2.6230
Li 6.6244 0.0000 6.2393
Ca 1.5261 0.0000 1.0732
Ca 2.6753 0.0000 4.4311
Ca 3.8245 0.0000 7.7891
Zn -0.3653 0.0000 5.2691
Zn 0.7206 0.0000 7.6937
Zn 4.6300 0.0000 1.1686
Zn 5.7159 0.0000 3.5932
```

Results
- symmetry = C2/m (12)
- final energy (eV per cell) = -16.5
- calculated formation energy (eV/atom) = -0.18
- D(E_F) (states/eV per atom) = 0.58

---

(3)
Here is crystalline CrSb3Mo at its relaxed geometry from Alexandria. Energies are from PBE-GGA.

Cell and atoms, written as extended XYZ:
```
5
Lattice="5.2444 0.0000 0.0000 0.0000 5.2444 0.0000 0.0000 0.0000 5.2444" Properties=species:S:1:pos:R:3 pbc="T T T"
Cr 0.0000 0.0000 0.0000
Sb 0.0000 2.6222 2.6222
Sb 2.6222 0.0000 2.6222
Sb 2.6222 2.6222 0.0000
Mo 2.6222 2.6222 2.6222
```

Results
- symmetry = Pm-3m (221)
- final energy (eV per cell) = -28.7
- energy relative to the elements, uncorrected (eV per atom) = 0.83
- D(E_F) (states/eV per atom) = 1.17

---

(4)
Here is crystalline EuYCdSi at its relaxed geometry from Alexandria. Energies are from PBE-GGA.

Cell and atoms, written as extended XYZ:
```
4
Lattice="0.0000 3.6897 3.6897 3.6897 0.0000 3.6897 3.6897 3.6897 0.0000" Properties=species:S:1:pos:R:3 pbc="T T T"
Eu 0.0000 0.0000 0.0000
Y 3.6897 3.6897 3.6897
Cd 5.5345 5.5345 5.5345
Si 1.8448 1.8448 1.8448
```

Results
- symmetry = F-43m (216)
- final energy (eV per cell) = -24.5
- energy relative to the elements, uncorrected (eV per atom) = -0.36
- D(E_F) (states/eV per atom) = 0.66

---

(5)
Here is crystalline Sm3DyRh at its relaxed geometry from Alexandria. Energies are from PBE-GGA.

Cell and atoms, written as extended XYZ:
```
10
Lattice="7.6974 0.0000 0.0000 0.0000 6.5945 0.0000 0.0000 0.0000 6.2554" Properties=species:S:1:pos:R:3 pbc="T T T"
Sm 0.0000 0.9930 0.0000
Sm 1.9135 2.0583 3.1638
Sm 1.9351 4.5362 0.0361
Sm 3.8487 5.6015 3.1277
Sm 5.7622 4.5362 0.0361
Sm 5.7838 2.0583 3.1638
Dy 0.0000 5.5679 3.2095
Dy 3.8487 1.0265 0.0818
Rh 0.0000 3.3276 1.6061
Rh 3.8487 3.2669 4.7338
```

Results
- symmetry = Pmn2_1 (31)
- final energy (eV per cell) = -54.7
- calculated formation energy (eV/atom) = -0.25
- D(E_F) (states/eV per atom) = 1.26

---

(6)
Here is crystalline CaEuSbPb at its relaxed geometry from Alexandria. Energies are from PBE-GGA.

Cell and atoms, written as extended XYZ:
```
4
Lattice="0.0000 3.9469 3.9469 3.9469 0.0000 3.9469 3.9469 3.9469 0.0000" Properties=species:S:1:pos:R:3 pbc="T T T"
Ca 0.0000 0.0000 0.0000
Eu 3.9469 3.9469 3.9469
Sb 5.9203 5.9203 5.9203
Pb 1.9734 1.9734 1.9734
```

Results
- symmetry = F-43m (216)
- final energy (eV per cell) = -22.6
- energy relative to the elements, uncorrected (eV per atom) = -0.63
- D(E_F) (states/eV per atom) = 0.82

---

(7)
Here is crystalline EuCd2As2 at its relaxed geometry from Alexandria. Energies are from PBE-GGA.

Cell and atoms, written as extended XYZ:
```
5
Lattice="4.5036 0.0000 0.0000 -2.2518 3.9003 0.0000 0.0000 0.0000 7.2708" Properties=species:S:1:pos:R:3 pbc="T T T"
Eu 0.0000 0.0000 0.0000
Cd 0.0000 2.6002 4.6199
Cd 2.2518 1.3001 2.6510
As 0.0000 2.6002 1.7492
As 2.2518 1.3001 5.5216
```

Results
- symmetry = P-3m1 (164)
- final energy (eV per cell) = -24.6
- calculated formation energy (eV/atom) = -0.63
- D(E_F) (states/eV per atom) = 0.05

---

(8)
Here is crystalline MgNiMo at its relaxed geometry from Alexandria. Energies are from PBE-GGA.

Cell and atoms, written as extended XYZ:
```
6
Lattice="2.7162 0.0000 0.0000 -0.4533 2.6781 0.0000 -0.1349 -0.1487 12.1330" Properties=species:S:1:pos:R:3 pbc="T T T"
Mg 0.0000 0.0000 0.0000
Mg -0.0063 0.0027 3.7621
Ni 1.1329 1.3364 1.8893
Ni 1.1155 1.3454 5.7076
Mo -0.0122 0.0064 7.5206
Mo 1.0009 1.2021 9.7717
```

Results
- symmetry = P1 (1)
- final energy (eV per cell) = -36.0
- calculated formation energy (eV/atom) = 0.08
- D(E_F) (states/eV per atom) = 0.58

---

(9)
Here is crystalline LiPaGe2O8 at its relaxed geometry from Alexandria. Energies are from PBE-GGA.

Cell and atoms, written as extended XYZ:
```
12
Lattice="-3.4892 3.4892 3.2730 3.4892 -3.4892 3.2730 3.4892 3.4892 -3.2730" Properties=species:S:1:pos:R:3 pbc="T T T"
Li 0.0000 0.0000 0.0000
Pa 0.0000 3.4892 1.6365
Ge 3.4892 0.0000 1.6365
Ge 0.0000 0.0000 3.2730
O 2.1496 0.0000 0.4550
O 4.8288 0.0000 0.4550
O 3.4892 2.0771 -1.0488
O 3.4892 -1.3396 2.8181
O 0.0000 1.4121 2.2243
O 3.4892 1.3396 2.8181
O 2.0771 3.4892 1.0488
O 1.4121 0.0000 4.3218
```

Results
- symmetry = I-4m2 (119)
- final energy (eV per cell) = -82.7
- energy relative to the elements, uncorrected (eV per atom) = -1.87
- D(E_F) (states/eV per atom) = 0.59

---

(10)
Here is crystalline KTaNiAs3 at its relaxed geometry from Alexandria. Energies are from PBE-GGA.

Cell and atoms, written as extended XYZ:
```
12
Lattice="8.3049 0.0000 0.0000 0.0000 3.8447 0.0000 -3.3054 0.0000 8.4396" Properties=species:S:1:pos:R:3 pbc="T T T"
K 0.3920 0.9612 4.1148
K 4.6075 2.8835 4.3248
Ta 2.7723 0.9612 0.3121
Ta 2.2272 2.8835 8.1275
Ni -2.4789 2.8835 8.3082
Ni 7.4785 0.9612 0.1314
As -2.4552 0.9612 6.8635
As -0.0072 2.8835 6.8275
As 2.1010 2.8835 1.9235
As 2.8985 0.9612 6.5161
As 5.0067 0.9612 1.6121
As 7.4547 2.8835 1.5761
```

Results
- symmetry = P2_1/m (11)
- final energy (eV per cell) = -69.8
- calculated formation energy (eV/atom) = -0.37
- D(E_F) (states/eV per atom) = 0.26

---

(11)
Here is crystalline La3ThTl2 at its relaxed geometry from Alexandria. Energies are from PBE-GGA.

Cell and atoms, written as extended XYZ:
```
12
Lattice="8.0664 -3.4443 0.0000 8.0664 3.4443 0.0000 -1.7681 0.0000 7.3468" Properties=species:S:1:pos:R:3 pbc="T T T"
La 2.7881 0.0179 0.6750
La 1.9041 -0.0179 4.3484
La 6.7403 1.7424 5.5101
La 7.6243 -1.7424 1.8367
La 12.4605 0.0179 2.9984
La 11.5765 -0.0179 6.6718
Th 7.6243 1.6894 1.8367
Th 6.7403 -1.6894 5.5101
Tl 5.0055 0.0156 3.1509
Tl 4.1214 -0.0156 6.8242
Tl 10.2432 0.0156 0.5225
Tl 9.3591 -0.0156 4.1959
```

Results
- symmetry = C2/c (15)
- final energy (eV per cell) = -55.7
- calculated formation energy (eV/atom) = -0.15
- D(E_F) (states/eV per atom) = 1.17

---

(12)
Here is crystalline TaTc2Ge at its relaxed geometry from Alexandria. Energies are from PBE-GGA.

Cell and atoms, written as extended XYZ:
```
4
Lattice="3.1778 0.0000 0.0000 0.0000 3.1778 0.0000 0.0000 0.0000 6.0755" Properties=species:S:1:pos:R:3 pbc="T T T"
Ta 0.0000 0.0000 0.0000
Tc 1.5889 1.5889 1.5816
Tc 1.5889 1.5889 4.4939
Ge 0.0000 0.0000 3.0377
```

Results
- symmetry = P4/mmm (123)
- final energy (eV per cell) = -38.3
- calculated formation energy (eV/atom) = -0.28
- D(E_F) (states/eV per atom) = 0.67

---

(13)
Here is crystalline BeAsP at its relaxed geometry from Alexandria. Energies are from PBE-GGA.

Cell and atoms, written as extended XYZ:
```
3
Lattice="0.0000 2.8676 2.8676 2.8676 0.0000 2.8676 2.8676 2.8676 0.0000" Properties=species:S:1:pos:R:3 pbc="T T T"
Be 0.0000 0.0000 0.0000
As 4.3014 4.3014 4.3014
P 1.4338 1.4338 1.4338
```

Results
- symmetry = F-43m (216)
- final energy (eV per cell) = -12.8
- calculated formation energy (eV/atom) = 0.33
- D(E_F) (states/eV per atom) = 0.58